Entry from the Alexandria database: an optimized crystal structure of TcTeMo2 (GGA-PBEsol).

Values from the calculation:
raw formation energy: 0.278 eV/atom

a = 5.262 Å, b = 5.262 Å, c = 5.262 Å
α = 144.25°, β = 130.93°, γ = 62.18°
Atoms (fractional coordinates):
Tc: 0.000 0.000 0.000
Te: 0.500 0.500 0.000
Mo: 0.257 0.757 0.500
Mo: 0.743 0.243 0.500